Entry 1:
This record from Alexandria via LeMat-Bulk describes a relaxed structure of LaTh2Tc. The functional is GGA-PBE.

```
LaTh2Tc
1.0
-5.759 -2.344 -2.006
2.689 -0.797 -6.787
2.908 -9.036 2.212
La Th Tc
4 8 4
Cartesian
-1.502 -4.189 -4.401
-4.118 -4.309 -1.450
1.340 -7.988 -2.180
3.956 -7.869 -5.131
1.022 -1.496 -4.737
-0.193 -4.862 -0.850
-2.270 -7.306 -2.671
1.117 -10.690 -4.905
-1.184 -10.681 -1.844
0.031 -7.315 -5.731
2.108 -4.871 -3.910
-1.279 -1.487 -1.676
1.200 -2.797 -2.267
0.797 -3.907 -6.270
-1.363 -9.380 -4.314
-0.959 -8.270 -0.311
```

Properties
As for the volume: 29.2 Å³ per atom. The value obtained for the raw total energy is -7.64 eV per atom.


Entry 2:
This record from Alexandria via LeMat-Bulk describes a relaxed structure of Ba2ReSn2. The functional is GGA-PBE.

```
Ba2ReSn2
1.0
-0.583 5.141 -5.281
4.970 -3.637 -4.089
-4.141 -2.947 -2.412
Re Ba Sn
2 4 4
Cartesian
0.000 0.000 0.000
2.194 0.752 -4.685
1.173 -3.032 -4.869
1.649 -1.024 -8.141
-0.926 1.589 -6.913
-1.402 -0.420 -3.640
4.009 -1.296 -5.298
2.751 1.981 -7.143
0.379 2.800 -4.072
1.637 -0.478 -2.227
```

Properties
As for the volume: 30.7 Å³ per atom. The value obtained for the raw total energy is -4.68 eV per atom.


Entry 3:
This record from Alexandria via LeMat-Bulk describes a relaxed structure of Zr4TlIn. The functional is GGA-PBE.

```
Zr4TlIn
1.0
-4.316 0.776 -1.998
-3.415 -3.393 0.248
-5.149 2.218 6.173
Zr Tl In
4 1 1
Cartesian
-5.482 -1.351 -0.306
-7.399 0.952 4.729
-4.178 1.051 3.621
-8.703 -1.450 0.802
0.000 0.000 0.000
-6.440 -0.200 2.211
```

Properties
As for the volume: 26.4 Å³ per atom. The value obtained for the raw total energy is -6.24 eV per atom.


Entry 4:
This record from Alexandria via LeMat-Bulk describes a relaxed structure of Sn3SbAu2. The functional is GGA-PBE.

```
Sn3SbAu2
1.0
4.347 0.000 0.000
0.000 6.290 -0.203
0.000 0.078 6.292
Sn Sb Au
3 1 2
Cartesian
2.173 1.439 4.869
0.000 4.126 4.613
0.000 1.574 2.173
2.173 5.213 0.922
0.000 0.281 6.080
2.173 3.364 2.856
```

Properties
As for the formation energy (no corrections): 0.069 eV per atom. As for the volume: 28.7 Å³ per atom.


Entry 5:
This record from Alexandria via LeMat-Bulk describes a relaxed structure of CoSiGe3. The functional is GGA-PBE.

```
CoSiGe3
1.0
-3.809 -1.945 1.536
-0.336 -2.385 -3.853
2.456 -3.343 1.855
Ge Co Si
3 1 1
Cartesian
-0.168 -1.192 -1.927
1.228 -1.672 0.928
-1.904 -0.973 0.768
0.000 0.000 0.000
-0.844 -3.837 -0.231
```

Properties
As for the formation energy (no corrections): 0.422 eV per atom. As for the volume: 18.8 Å³ per atom.


Entry 6:
This record from Alexandria via LeMat-Bulk describes a relaxed structure of InBi2TePt. The functional is GGA-PBE.

```
InBi2TePt
1.0
5.672 0.000 0.000
0.000 5.474 0.000
0.000 0.000 5.672
Te Bi Pt In
1 2 1 1
Cartesian
0.000 2.737 0.000
0.000 0.000 2.836
2.836 0.000 0.000
2.836 2.737 2.836
0.000 0.000 0.000
```

Properties
As for the formation energy (no corrections): 1.131 eV per atom. As for the volume: 35.2 Å³ per atom.


Entry 7:
This record from Alexandria via LeMat-Bulk describes a relaxed structure of Cr4Pt3. The functional is GGA-PBE.

```
Cr4Pt3
1.0
-10.672 2.542 1.835
-10.876 1.023 -2.094
10.444 -3.719 0.895
Cr Pt
4 3
Cartesian
-18.744 3.101 -0.225
-12.448 2.060 -0.150
-9.099 1.505 -0.109
-2.803 0.464 -0.034
0.000 0.000 0.000
-15.192 2.514 -0.183
-6.355 1.051 -0.076
```

Properties
As for the volume: 13.9 Å³ per atom. The value obtained for the raw total energy is -8.10 eV per atom.


Entry 8:
This record from Alexandria via LeMat-Bulk describes a relaxed structure of TbNd12Cd6. The functional is GGA-PBE.

```
TbNd12Cd6
1.0
8.266 0.736 0.881
-0.526 8.282 0.881
-0.526 -0.613 8.306
Tb Nd Cd
1 12 6
Cartesian
0.000 0.000 0.000
6.169 4.738 4.758
2.855 6.679 5.512
3.748 3.463 7.556
1.045 3.667 5.311
4.359 1.726 4.557
3.466 4.942 2.512
0.081 1.072 3.374
6.167 5.129 9.227
4.135 7.851 8.411
7.133 7.333 6.695
1.047 3.276 0.841
3.079 0.554 1.658
5.494 7.724 3.584
5.925 2.649 1.828
0.412 6.058 2.933
1.720 0.681 6.485
1.288 5.756 8.240
6.802 2.347 7.136
```

Properties
As for the volume: 30.5 Å³ per atom. The value obtained for the raw total energy is -3.65 eV per atom.